## w
InHW3: optimized geometry, GGA-PBE.

```
5
Lattice="4.923 0.000 0.000 0.000 4.923 0.000 0.000 0.000 4.923" Properties=species:S:1:pos:R:3 pbc="T T T"
In 0.000 0.000 0.000
H 2.462 2.462 2.462
W 0.000 0.000 2.462
W 0.000 2.462 0.000
W 2.462 0.000 0.000
```

## x
InHW3: optimized geometry, GGA-PBE.

```
5
Lattice="4.125 0.000 0.000 0.000 4.125 0.000 0.000 0.000 4.125" Properties=species:S:1:pos:R:3 pbc="T T T"
In 0.000 0.000 0.000
H 2.063 2.063 2.063
W 0.000 2.063 2.063
W 2.063 0.000 2.063
W 2.063 2.063 0.000
```

Most stable of them? x.

## w
InHW: optimized geometry, GGA-PBE.

```
6
Lattice="3.021 0.000 0.000 0.000 3.212 0.000 -0.301 0.000 9.364" Properties=species:S:1:pos:R:3 pbc="T T T"
In 0.608 0.803 3.456
In 2.112 2.409 5.908
H 0.611 0.803 7.449
H 2.109 2.409 1.915
W 0.546 2.409 0.824
W 2.174 0.803 8.540
```

## x
InHW: optimized geometry, GGA-PBE.

```
6
Lattice="1.552 0.896 10.123 -1.552 0.896 10.123 0.000 -1.793 10.123" Properties=species:S:1:pos:R:3 pbc="T T T"
In 0.000 0.000 0.000
In 0.000 0.000 2.928
H 0.000 0.000 8.139
H 0.000 0.000 14.944
W 0.000 0.000 17.713
W 0.000 0.000 25.755
```

Most stable of them? x.

## w
InHW: optimized geometry, GGA-PBE.

```
6
Lattice="1.572 0.908 9.721 -1.572 0.908 9.721 0.000 -1.815 9.721" Properties=species:S:1:pos:R:3 pbc="T T T"
In 0.000 0.000 6.201
In 0.000 0.000 22.962
H 0.000 0.000 1.520
H 0.000 0.000 27.643
W 0.000 0.000 10.748
W 0.000 0.000 18.415
```

## x
InHW: optimized geometry, GGA-PBE.

```
6
Lattice="2.461 -1.599 0.000 2.461 1.599 0.000 -0.207 0.000 11.061" Properties=species:S:1:pos:R:3 pbc="T T T"
In 0.053 0.000 3.986
In 4.661 0.000 7.075
H 1.810 0.000 9.154
H 2.904 0.000 1.907
W 1.199 0.000 1.068
W 3.515 0.000 9.993
```

Most stable of them? w.